No. 1
11
Lattice="7.137 -4.435 0.000 7.137 4.435 0.000 -1.386 0.000 5.634" Properties=species:S:1:pos:R:3 comment="PBE-GGA Cd2InPb8, relaxed" energy_ev_per_cell=-32.90 mass_density_g_cm3=9.30 e_form_ev_per_fu=1.3 de_polymorph_mev_per_atom=98 pbc="T T T"
Cd 1.698 0.000 0.012
Cd 11.190 0.000 5.622
In -0.693 0.000 2.817
Pb 5.141 1.810 4.046
Pb 2.500 0.000 3.181
Pb 4.897 0.000 0.873
Pb 7.748 1.810 1.588
Pb 5.141 -1.810 4.046
Pb 7.992 0.000 4.761
Pb 10.389 0.000 2.453
Pb 7.748 -1.810 1.588

=====

No. 2
4
Lattice="3.545 0.000 0.000 0.000 4.332 0.000 0.000 0.000 7.132" Properties=species:S:1:pos:R:3 comment="PBE-GGA CdIn2Pb, relaxed" energy_ev_per_cell=-9.96 mass_density_g_cm3=8.33 e_form_ev_per_fu=0.1 pbc="T T T"
Cd 0.000 0.000 0.000
In 0.000 0.000 3.392
In 1.772 2.166 1.626
Pb 1.772 2.166 5.296

=====

No. 3
16
Lattice="4.546 -4.551 0.000 4.546 4.551 0.000 0.000 0.000 9.136" Properties=species:S:1:pos:R:3 comment="PBE-GGA Cd14InPb, relaxed" energy_ev_per_cell=-18.85 mass_density_g_cm3=8.33 e_form_ev_per_fu=0.4 pbc="T T T"
Cd 0.000 0.000 0.000
Cd 2.273 2.275 0.000
Cd 2.273 2.275 4.568
Cd 2.247 0.000 2.195
Cd 2.247 0.000 6.941
Cd 4.546 2.302 2.196
Cd 4.546 2.302 6.940
Cd 2.273 -2.275 0.000
Cd 2.273 -2.275 4.568
Cd 4.546 0.000 0.000
Cd 4.546 -2.302 2.196
Cd 4.546 -2.302 6.940
Cd 6.845 0.000 2.195
Cd 6.845 0.000 6.941
In 0.000 0.000 4.568
Pb 4.546 0.000 4.568

=====

No. 4
29
Lattice="5.711 -8.350 0.000 5.711 8.350 0.000 -5.645 0.000 7.902" Properties=species:S:1:pos:R:3 comment="PBE-GGA Cd11In17Pb, relaxed" energy_ev_per_cell=-59.48 mass_density_g_cm3=7.48 e_form_ev_per_fu=0.9 pbc="T T T"
Cd 0.000 0.000 0.000
Cd -1.296 3.038 4.774
Cd 2.229 1.596 1.321
Cd -1.251 3.094 7.785
Cd -1.296 -3.038 4.774
Cd 2.229 -1.596 1.321
Cd 0.837 1.515 6.286
Cd 0.837 -1.515 6.286
Cd -1.251 -3.094 7.785
Cd 7.989 1.605 3.227
Cd 7.989 -1.605 3.227
In -0.557 0.000 3.514
In -2.446 0.000 6.297
In 1.425 5.540 6.246
In 4.903 5.722 1.563
In 1.709 3.391 3.828
In 4.905 2.725 3.053
In 2.591 0.000 4.032
In 7.410 3.442 0.784
In 5.165 0.000 1.105
In 3.859 2.489 6.269
In 1.709 -3.391 3.828
In 8.402 0.000 0.512
In 4.905 -2.725 3.053
In 1.425 -5.540 6.246
In 4.903 -5.722 1.563
In 3.859 -2.489 6.269
In 7.410 -3.442 0.784
Pb 5.678 0.000 4.752